Density functional theory data (GGA-PBE) for MnAg2Te after structural relaxation.

The structure in POSCAR format:
```
MnAg2Te
1.0
4.6245 -0.0397 0.0157
3.2730 3.2673 0.0157
1.0503 0.4293 5.6730
Ag Mn Te
2 1 1
Direct
0.0177 0.0177 0.9482
0.7632 0.7632 0.7359
0.4986 0.4986 0.5249
0.2205 0.2205 0.2910
```

Space group: Cm (8)
Density (Mg/m³): 7.7
Raw formation energy (eV/atom): 0.231